5
Lattice="-5.767 1.075 -0.452 -1.165 -5.391 2.049 -0.039 2.067 5.417" Properties=species:S:1:pos:R:3 comment="CaInSbTe2 GGA-PBE relaxed" raw_formation_energy_ev_per_atom=0.09 e_above_lowest_polymorph_mev_per_atom=111 final_energy_ev_per_atom=-2.941 pbc="T T T"
Sb -0.020 1.034 2.708
Ca 0.000 0.000 0.000
Te -0.583 -2.696 1.024
Te -2.884 0.537 -0.226
In -3.486 -1.125 3.507